1.
Below is Mg6Ag3Sn after structural relaxation, with properties calculated at the GGA-PBE level.

Summary:
DFT formation energy: -0.101 eV/atom
M_tot: 0.0 μB/f.u.
SG: P2_1/m (11)
Crystal system: monoclinic

Structure (POSCAR):
```
Mg6Ag3Sn
1.0
-0.970 -4.282 -1.199
3.838 -3.071 7.862
-10.747 1.954 1.718
Mg Sn Ag
12 2 6
Direct
0.250 0.237 0.115
0.750 0.763 0.885
0.750 0.410 0.025
0.750 0.636 0.555
0.750 0.048 0.207
0.250 0.636 0.264
0.750 0.364 0.736
0.250 0.952 0.793
0.250 0.364 0.445
0.250 0.590 0.975
0.750 0.883 0.413
0.250 0.117 0.587
0.250 0.595 0.710
0.750 0.405 0.290
0.250 0.268 0.864
0.750 0.732 0.136
0.750 0.086 0.952
0.250 0.796 0.530
0.250 0.914 0.048
0.750 0.204 0.470
```

2.
Below is BaTbAg2O4 after structural relaxation, with properties calculated at the GGA-PBE level.

Summary:
M_tot: 0.0 μB/f.u.
SG: I222 (23)
Crystal system: orthorhombic
Formation energy (no corrections): -1.7136 eV/atom

Structure (POSCAR):
```
BaTbAg2O4
1.0
6.017 0.000 0.000
3.009 4.774 0.185
3.009 0.575 4.743
Ag O Tb Ba
2 4 1 1
Direct
0.786 0.714 0.714
0.214 0.286 0.286
0.483 0.116 0.509
0.517 0.491 0.884
0.108 0.884 0.491
0.892 0.509 0.116
0.500 0.500 0.500
0.000 0.000 0.000
```

3.
Below is CuHPdAu after structural relaxation, with properties calculated at the GGA-PBE level.

Summary:
M_tot: 0.0 μB/f.u.
SG: Cm (8)
Crystal system: monoclinic
Total energy: -4.02 eV/atom

Structure (POSCAR):
```
CuHPdAu
1.0
-1.853 -0.664 2.136
-0.876 -0.111 -2.766
3.467 -5.948 -0.860
H Cu Au Pd
1 1 1 1
Direct
0.323 0.560 0.896
0.517 0.156 0.689
0.968 0.382 0.373
0.070 0.933 0.011
```

4.
Below is SrTl2NiAg after structural relaxation, with properties calculated at the GGA-PBE level.

Summary:
DFT formation energy: -0.052 eV/atom
M_tot: 0.0 μB/f.u.
SG: P4/mmm (123)
Crystal system: tetragonal

Structure (POSCAR):
```
SrTl2NiAg
1.0
-2.937 -3.156 2.602
-1.334 -2.289 -4.283
3.995 -3.292 0.516
Sr Ni Tl Ag
1 1 2 1
Direct
0.500 0.500 0.500
0.000 0.000 0.000
0.000 0.500 0.000
0.500 0.000 0.000
0.000 0.000 0.500
```

5.
Below is Nd2Dy3Ga2 after structural relaxation, with properties calculated at the GGA-PBE level.

Summary:
DFT formation energy: -0.308 eV/atom
M_tot: 0.0 μB/f.u.
SG: C2/m (12)
Crystal system: monoclinic

Structure (POSCAR):
```
Nd2Dy3Ga2
1.0
-1.697 3.863 0.071
-4.366 -4.183 -2.143
0.482 0.053 8.609
Dy Nd Ga
3 2 2
Direct
0.377 0.754 0.560
0.500 0.000 0.000
0.623 0.246 0.440
0.850 0.700 0.191
0.150 0.300 0.809
0.832 0.664 0.785
0.168 0.336 0.215
```

6.
Below is MnCo2Tc after structural relaxation, with properties calculated at the GGA-PBE level.

Summary:
DFT formation energy: 0.149 eV/atom
M_tot: 5.3 μB/f.u.
SG: Imm2 (44)
Crystal system: orthorhombic
E above lowest polymorph: 0.137 eV/atom

Structure (POSCAR):
```
MnCo2Tc
1.0
4.780 0.005 0.000
2.114 4.287 0.000
-3.011 -2.846 2.383
Co Tc Mn
2 1 1
Direct
0.996 0.996 0.000
0.744 0.244 0.500
0.255 0.755 0.500
0.505 0.505 0.000
```

7.
Below is CsCa2Al2 after structural relaxation, with properties calculated at the GGA-PBE level.

Summary:
DFT formation energy: 0.089 eV/atom
M_tot: 0.0 μB/f.u.
SG: P4/mbm (127)
Crystal system: tetragonal
E above lowest polymorph: 0.000 eV/atom

Structure (POSCAR):
```
CsCa2Al2
1.0
9.369 0.000 0.000
0.000 9.369 0.000
0.000 0.000 3.581
Al Ca Cs
4 4 2
Direct
0.889 0.389 0.500
0.389 0.111 0.500
0.111 0.611 0.500
0.611 0.889 0.500
0.827 0.673 0.000
0.673 0.173 0.000
0.173 0.327 0.000
0.327 0.827 0.000
0.000 0.000 0.000
0.500 0.500 0.000
```

8.
Below is ZnCo2Si after structural relaxation, with properties calculated at the GGA-PBE level.

Summary:
M_tot: 0.0 μB/f.u.
SG: P4/mmm (123)
Crystal system: tetragonal
Formation energy (no corrections): -0.3694 eV/atom

Structure (POSCAR):
```
ZnCo2Si
1.0
2.719 0.000 0.000
0.000 2.723 0.002
0.000 2.721 6.085
Co Zn Si
2 1 1
Direct
0.000 0.530 0.471
0.000 0.970 0.029
0.500 0.750 0.750
0.500 0.250 0.250
```